Entry 1:
Material: Sr8As3PI4
Method: DFT, PBE-GGA
State: relaxed

Computed properties:
Space-group type: No. 166
Total magnetic moment, μB/cell: 0.000

```
Sr8As3PI4
1.0
4.605 2.659 7.925
-4.605 2.659 7.925
0.000 -5.318 7.925
Sr As P I
8 3 1 4
direct
0.233 0.233 0.233
0.237 0.730 0.730
0.270 0.270 0.763
0.270 0.763 0.270
0.730 0.237 0.730
0.730 0.730 0.237
0.763 0.270 0.270
0.767 0.767 0.767
0.000 0.000 0.500
0.000 0.500 0.000
0.500 0.000 0.000
0.500 0.500 0.500
0.000 0.000 0.000
0.000 0.500 0.500
0.500 0.000 0.500
0.500 0.500 0.000
```

=====

Entry 2:
Material: Sr8AsP3I4
Method: DFT, PBE-GGA
State: relaxed

Computed properties:
Space-group type: No. 166
Total magnetic moment, μB/cell: 0.000

```
Sr8AsP3I4
1.0
4.557 2.631 7.915
-4.557 2.631 7.915
0.000 -5.262 7.915
Sr As P I
8 1 3 4
direct
0.227 0.734 0.734
0.231 0.231 0.231
0.266 0.266 0.773
0.266 0.773 0.266
0.734 0.227 0.734
0.734 0.734 0.227
0.769 0.769 0.769
0.773 0.266 0.266
0.500 0.500 0.500
0.000 0.000 0.500
0.000 0.500 0.000
0.500 0.000 0.000
0.000 0.000 0.000
0.000 0.500 0.500
0.500 0.000 0.500
0.500 0.500 0.000
```

=====

Entry 3:
Material: TaAsPI2
Method: DFT, PBE-GGA
State: relaxed

Computed properties:
DOS at the Fermi energy, states/eV/cell: 4.208
Space-group type: No. 123
Total magnetic moment, μB/cell: 2.843

```
TaAsPI2
1.0
5.515 0.000 0.000
0.000 5.515 0.000
0.000 0.000 4.733
Ta As P I
1 1 1 2
direct
0.000 0.000 0.000
0.500 0.500 0.500
0.500 0.500 0.000
0.000 0.500 0.500
0.500 0.000 0.500
```

=====

Entry 4:
Material: Pa2AsI
Method: DFT, PBE-GGA
State: relaxed

Computed properties:
DOS at the Fermi energy, states/eV/cell: 7.555
Space-group type: No. 166
Total magnetic moment, μB/cell: 0.007

```
Pa2AsI
1.0
1.857 1.072 8.740
-1.857 1.072 8.740
0.000 -2.145 8.740
Pa As I
2 1 1
direct
0.238 0.238 0.238
0.762 0.762 0.762
0.500 0.500 0.500
0.000 0.000 0.000
```

=====

Entry 5:
Material: Pa2AsI2
Method: DFT, PBE-GGA
State: relaxed

Computed properties:
DOS at the Fermi energy, states/eV/cell: 8.410
Space-group type: No. 166
Total magnetic moment, μB/cell: 1.254

```
Pa2AsI2
1.0
2.088 1.206 11.256
-2.088 1.206 11.256
0.000 -2.411 11.256
Pa As I
2 1 2
direct
0.123 0.123 0.123
0.877 0.877 0.877
0.500 0.500 0.500
0.273 0.273 0.273
0.727 0.727 0.727
```

=====

Entry 6:
Material: PaAsI3
Method: DFT, PBE-GGA
State: relaxed

Computed properties:
DOS at the Fermi energy, states/eV/cell: 4.675
Space-group type: No. 13
Total magnetic moment, μB/cell: 0.149

```
PaAsI3
1.0
8.344 0.000 0.000
0.000 7.637 0.000
-1.373 0.000 15.008
Pa As I
4 4 12
direct
0.082 0.129 0.141
0.082 0.871 0.641
0.918 0.129 0.359
0.918 0.871 0.859
0.136 0.358 0.287
0.136 0.642 0.787
0.864 0.358 0.213
0.864 0.642 0.713
0.127 0.221 0.533
0.127 0.779 0.033
0.224 0.101 0.798
0.224 0.899 0.298
0.374 0.264 0.074
0.374 0.736 0.574
0.626 0.264 0.426
0.626 0.736 0.926
0.776 0.101 0.702
0.776 0.899 0.202
0.873 0.221 0.967
0.873 0.779 0.467
```

=====

Entry 7:
Material: As2Pb2I
Method: DFT, PBE-GGA
State: relaxed

Computed properties:
DOS at the Fermi energy, states/eV/cell: 1.512
Distance to the lowest polymorph of the same formula, meV/atom: 5
Space-group type: No. 139
Total magnetic moment, μB/cell: 0.000

```
As2Pb2I
1.0
-2.152 2.152 8.382
2.152 -2.152 8.382
2.152 2.152 -8.382
As Pb I
2 2 1
direct
0.250 0.750 0.500
0.750 0.250 0.500
0.123 0.123 0.000
0.877 0.877 0.000
0.500 0.500 0.000
```

=====

Entry 8:
Material: AsPb3I
Method: DFT, PBE-GGA
State: relaxed

Computed properties:
DOS at the Fermi energy, states/eV/cell: 7.776
Distance to the lowest polymorph of the same formula, meV/atom: 0
Space-group type: No. 221
Total magnetic moment, μB/cell: 0.000

```
AsPb3I
1.0
5.783 0.000 0.000
0.000 5.783 0.000
0.000 0.000 5.783
As Pb I
1 3 1
direct
0.000 0.000 0.000
0.000 0.000 0.500
0.000 0.500 0.000
0.500 0.000 0.000
0.500 0.500 0.500
```

=====

Entry 9:
Material: AsPb2I
Method: DFT, PBE-GGA
State: relaxed

Computed properties:
DOS at the Fermi energy, states/eV/cell: 1.420
Distance to the lowest polymorph of the same formula, meV/atom: 324
Space-group type: No. 225
Total magnetic moment, μB/cell: 0.000

```
AsPb2I
1.0
0.000 3.918 3.918
3.918 0.000 3.918
3.918 3.918 0.000
As Pb I
1 2 1
direct
0.000 0.000 0.000
0.250 0.250 0.250
0.750 0.750 0.750
0.500 0.500 0.500
```

=====

Entry 10:
Material: AsPb2I
Method: DFT, PBE-GGA
State: relaxed

Computed properties:
DOS at the Fermi energy, states/eV/cell: 0.238
Distance to the lowest polymorph of the same formula, meV/atom: 226
Space-group type: No. 122
Total magnetic moment, μB/cell: 0.000

```
AsPb2I
1.0
-4.110 4.110 4.558
4.110 -4.110 4.558
4.110 4.110 -4.558
As Pb I
2 4 2
direct
0.000 0.000 0.000
0.750 0.250 0.500
0.072 0.625 0.947
0.375 0.322 0.447
0.678 0.125 0.053
0.875 0.928 0.553
0.250 0.750 0.500
0.500 0.500 0.000
```

=====

Entry 11:
Material: AsPb2I
Method: DFT, PBE-GGA
State: relaxed

Computed properties:
DOS at the Fermi energy, states/eV/cell: 1.772
Distance to the lowest polymorph of the same formula, meV/atom: 185
Space-group type: No. 123
Total magnetic moment, μB/cell: 0.000

```
AsPb2I
1.0
3.825 0.000 0.000
0.000 3.825 0.000
0.000 0.000 8.339
As Pb I
1 2 1
direct
0.000 0.000 0.000
0.500 0.500 0.210
0.500 0.500 0.790
0.000 0.000 0.500
```

=====

Entry 12:
Material: As2Pb2I
Method: DFT, PBE-GGA
State: relaxed

Computed properties:
DOS at the Fermi energy, states/eV/cell: 1.681
Distance to the lowest polymorph of the same formula, meV/atom: 0
Space-group type: No. 139
Total magnetic moment, μB/cell: 0.000

```
As2Pb2I
1.0
-2.808 2.808 4.806
2.808 -2.808 4.806
2.808 2.808 -4.806
As Pb I
2 2 1
direct
0.124 0.124 0.000
0.876 0.876 0.000
0.250 0.750 0.500
0.750 0.250 0.500
0.500 0.500 0.000
```

=====

Entry 13:
Material: AsPb2I
Method: DFT, PBE-GGA
State: relaxed

Computed properties:
DOS at the Fermi energy, states/eV/cell: 0.312
Distance to the lowest polymorph of the same formula, meV/atom: 25
Space-group type: No. 160
Total magnetic moment, μB/cell: 0.000

```
AsPb2I
1.0
2.205 1.273 8.149
-2.205 1.273 8.149
0.000 -2.546 8.149
As Pb I
1 2 1
direct
0.000 0.000 0.000
0.401 0.401 0.401
0.604 0.604 0.604
0.825 0.825 0.825
```

=====

Entry 14:
Material: AsPbI2
Method: DFT, PBE-GGA
State: relaxed

Computed properties:
DOS at the Fermi energy, states/eV/cell: 3.549
Distance to the lowest polymorph of the same formula, meV/atom: 85
Space-group type: No. 225
Total magnetic moment, μB/cell: 1.484

```
AsPbI2
1.0
0.000 3.967 3.967
3.967 0.000 3.967
3.967 3.967 0.000
As Pb I
1 1 2
direct
0.000 0.000 0.000
0.500 0.500 0.500
0.250 0.250 0.250
0.750 0.750 0.750
```

=====

Entry 15:
Material: As2Pb3I
Method: DFT, PBE-GGA
State: relaxed

Computed properties:
DOS at the Fermi energy, states/eV/cell: 4.598
Space-group type: No. 11
Total magnetic moment, μB/cell: 0.000

```
As2Pb3I
1.0
7.832 0.000 0.000
0.000 4.344 0.000
-2.755 0.000 11.157
As Pb I
4 6 2
direct
0.003 0.250 0.323
0.256 0.250 0.014
0.744 0.750 0.986
0.997 0.750 0.677
0.102 0.750 0.148
0.187 0.750 0.480
0.343 0.750 0.865
0.657 0.250 0.135
0.813 0.250 0.520
0.898 0.250 0.852
0.476 0.250 0.664
0.524 0.750 0.336
```

=====

Entry 16:
Material: As3PbI
Method: DFT, PBE-GGA
State: relaxed

Computed properties:
DOS at the Fermi energy, states/eV/cell: 4.267
Distance to the lowest polymorph of the same formula, meV/atom: 0
Space-group type: No. 221
Total magnetic moment, μB/cell: 0.000

```
As3PbI
1.0
5.377 0.000 0.000
0.000 5.377 0.000
0.000 0.000 5.377
As Pb I
3 1 1
direct
0.000 0.000 0.500
0.000 0.500 0.000
0.500 0.000 0.000
0.500 0.500 0.500
0.000 0.000 0.000
```

=====

Entry 17:
Material: AsPb2I2
Method: DFT, PBE-GGA
State: relaxed

Computed properties:
DOS at the Fermi energy, states/eV/cell: 2.051
Distance to the lowest polymorph of the same formula, meV/atom: 0
Space-group type: No. 127
Total magnetic moment, μB/cell: 2.102

```
AsPb2I2
1.0
8.155 0.000 0.000
0.000 8.155 0.000
0.000 0.000 5.236
As Pb I
2 4 4
direct
0.000 0.000 0.000
0.500 0.500 0.000
0.166 0.334 0.000
0.334 0.834 0.000
0.666 0.166 0.000
0.834 0.666 0.000
0.169 0.669 0.500
0.331 0.169 0.500
0.669 0.831 0.500
0.831 0.331 0.500
```

=====

Entry 18:
Material: As2Pb2I
Method: DFT, PBE-GGA
State: relaxed

Computed properties:
DOS at the Fermi energy, states/eV/cell: 11.435
Distance to the lowest polymorph of the same formula, meV/atom: 166
Space-group type: No. 127
Total magnetic moment, μB/cell: 0.002

```
As2Pb2I
1.0
9.093 0.000 0.000
0.000 9.093 0.000
0.000 0.000 3.939
As Pb I
4 4 2
direct
0.098 0.402 0.000
0.402 0.902 0.000
0.598 0.098 0.000
0.902 0.598 0.000
0.154 0.654 0.500
0.346 0.154 0.500
0.654 0.846 0.500
0.846 0.346 0.500
0.000 0.000 0.500
0.500 0.500 0.500
```

=====

Entry 19:
Material: AsPb3I
Method: DFT, PBE-GGA
State: relaxed

Computed properties:
DOS at the Fermi energy, states/eV/cell: 4.097
Distance to the lowest polymorph of the same formula, meV/atom: 630
Space-group type: No. 221
Total magnetic moment, μB/cell: 0.000

```
AsPb3I
1.0
5.969 0.000 0.000
0.000 5.969 0.000
0.000 0.000 5.969
As Pb I
1 3 1
direct
0.000 0.000 0.000
0.000 0.500 0.500
0.500 0.000 0.500
0.500 0.500 0.000
0.500 0.500 0.500
```

=====

Entry 20:
Material: As2Pb2I
Method: DFT, PBE-GGA
State: relaxed

Computed properties:
DOS at the Fermi energy, states/eV/cell: 1.193
Distance to the lowest polymorph of the same formula, meV/atom: 16
Space-group type: No. 12
Total magnetic moment, μB/cell: 0.000

```
As2Pb2I
1.0
3.485 -2.802 0.000
3.485 2.802 0.000
-2.163 0.000 8.437
As Pb I
2 2 1
direct
0.224 0.776 0.000
0.776 0.224 0.000
0.336 0.336 0.242
0.664 0.664 0.758
0.000 0.000 0.500
```

=====

| no. | V (Å³/f.u.) | uncorrected formation energy (eV/atom) |
| --- | --- | --- |
| 1 | 582.3 | -1.45 |
| 2 | 569.3 | -1.43 |
| 3 | 144.0 | 1.43 |
| 4 | 104.4 | -0.52 |
| 5 | 170.0 | -0.87 |
| 6 | 239.1 | -0.71 |
| 7 | 155.2 | -0.13 |
| 8 | 193.4 | 0.26 |
| 9 | 120.3 | 0.03 |
| 10 | 154.0 | -0.07 |
| 11 | 122.0 | -0.11 |
| 12 | 151.5 | -0.14 |
| 13 | 137.2 | -0.27 |
| 14 | 124.9 | 0.29 |
| 15 | 189.8 | -0.14 |
| 16 | 155.5 | 1.00 |
| 17 | 174.1 | -0.07 |
| 18 | 162.8 | 0.03 |
| 19 | 212.6 | 0.89 |
| 20 | 164.8 | -0.12 |